First-principles (PBE) data for a relaxed structure of TaInSe, as listed in the Alexandria database.

Values from the calculation:
D(E_F): 0.81 states/eV per cell
Spin magnetization: 0.00 μB/f.u.
Total energy: -5.943 eV/atom
Polymorph energy (0 for the lowest one): 0.338 eV/atom
Energy relative to the elements, uncorrected: 0.083 eV/atom

a b c (Å): 4.5393 4.5393 3.4163
angles (deg): 90.00 90.00 120.00
Space group P-6m2 (No. 187)
Inequivalent atoms, fractional coordinates:
Ta1 0.0000 0.0000 0.0000 (multiplicity 1)
In1 0.6667 0.3333 0.5000 (multiplicity 1)
Se1 0.3333 0.6667 0.0000 (multiplicity 1)


First-principles (PBE) data for a relaxed structure of RbTl2PdCl6, as listed in the Alexandria database.

Values from the calculation:
D(E_F): 22.40 states/eV per cell
Spin magnetization: 1.04 μB/f.u.
Total energy: -3.145 eV/atom
Energy relative to the elements, uncorrected: -0.948 eV/atom

a b c (Å): 7.1567 7.1567 47.5347
angles (deg): 90.00 90.00 120.00
Space group R-3m (No. 166, hexagonal axes)
Inequivalent atoms, fractional coordinates:
Rb1 0.0000 0.0000 0.0844 (multiplicity 6)
Tl1 0.0000 0.0000 0.1856 (multiplicity 6)
Tl2 0.0000 0.0000 0.3526 (multiplicity 6)
Pd1 0.0000 0.0000 0.0000 (multiplicity 3)
Pd2 0.0000 0.0000 0.5000 (multiplicity 3)
Cl1 0.0107 0.5054 0.6372 (multiplicity 18)
Cl2 0.0117 0.5059 0.1961 (multiplicity 18)


First-principles (PBE) data for a relaxed structure of KSn2OsPb, as listed in the Alexandria database.

Values from the calculation:
D(E_F): 4.13 states/eV per cell
DFT formation energy: 1.71 eV per atom
Spin magnetization: 2.87 μB/f.u.
Total energy: -3.096 eV/atom

a b c (Å): 5.732 5.732 6.291
angles (deg): 90.00 90.00 90.00
Space group P4/mmm (No. 123)
Inequivalent atoms, fractional coordinates:
K1 0.000 0.000 0.000 (multiplicity 1)
Sn1 0.000 0.500 0.500 (multiplicity 2)
Os1 0.500 0.500 0.000 (multiplicity 1)
Pb1 0.000 0.000 0.500 (multiplicity 1)


First-principles (PBE) data for a relaxed structure of Mg3Zn5Rh2, as listed in the Alexandria database.

Values from the calculation:
D(E_F): 14.53 states/eV per cell
DFT formation energy: -0.22 eV per atom
Spin magnetization: 0.00 μB/f.u.
Total energy: -2.803 eV/atom

a b c (Å): 6.606 18.392 5.282
angles (deg): 90.00 90.00 90.00
Space group Ibam (No. 72)
Inequivalent atoms, fractional coordinates:
Mg1 0.000 0.000 0.250 (multiplicity 4)
Mg2 0.139 0.274 0.000 (multiplicity 8)
Zn1 0.000 0.151 0.250 (multiplicity 8)
Zn2 0.000 0.500 0.250 (multiplicity 4)
Zn3 0.213 0.412 0.000 (multiplicity 8)
Rh1 0.170 0.380 0.500 (multiplicity 8)


First-principles (PBE) data for a relaxed structure of BeBi2H2, as listed in the Alexandria database.

Values from the calculation:
D(E_F): 3.51 states/eV per cell
Spin magnetization: 0.00 μB/f.u.
Total energy: -2.956 eV/atom
Polymorph energy (0 for the lowest one): 0.219 eV/atom

a b c (Å): 3.491 3.491 13.331
angles (deg): 90.00 90.00 90.00
Space group I4/mmm (No. 139)
Inequivalent atoms, fractional coordinates:
Be1 0.000 0.000 0.000 (multiplicity 2)
Bi1 0.000 0.000 0.371 (multiplicity 4)
H1 0.000 0.500 0.250 (multiplicity 4)


First-principles (PBE) data for a relaxed structure of FeNiGePt, as listed in the Alexandria database.

Values from the calculation:
D(E_F): 7.67 states/eV per cell
DFT formation energy: -0.14 eV per atom
Spin magnetization: 2.92 μB/f.u.
Total energy: -6.364 eV/atom

a b c (Å): 5.969 5.969 5.969
angles (deg): 90.00 90.00 90.00
Space group F-43m (No. 216)
Inequivalent atoms, fractional coordinates:
Fe1 0.000 0.000 0.000 (multiplicity 4)
Ni1 0.250 0.250 0.750 (multiplicity 4)
Ge1 0.250 0.250 0.250 (multiplicity 4)
Pt1 0.000 0.000 0.500 (multiplicity 4)


First-principles (PBE) data for a relaxed structure of Ac4SnTe2Pb, as listed in the Alexandria database.

Values from the calculation:
D(E_F): 2.35 states/eV per cell
Spin magnetization: 0.00 μB/f.u.
Total energy: -4.901 eV/atom
Energy relative to the elements, uncorrected: -1.097 eV/atom

a b c (Å): 8.321 4.835 8.368
angles (deg): 90.00 109.58 90.00
Space group P2/m (No. 10)
Inequivalent atoms, fractional coordinates:
Ac1 0.238 0.000 0.244 (multiplicity 2)
Ac2 0.239 0.500 0.748 (multiplicity 2)
Sn1 0.000 0.500 0.000 (multiplicity 1)
Te1 0.500 0.000 0.000 (multiplicity 1)
Te2 0.500 0.500 0.500 (multiplicity 1)
Pb1 0.000 0.000 0.500 (multiplicity 1)


First-principles (PBE) data for a relaxed structure of Ta4SbTe8, as listed in the Alexandria database.

Values from the calculation:
D(E_F): 26.91 states/eV per cell
Spin magnetization: 0.00 μB/f.u.
Total energy: -6.058 eV/atom
Energy relative to the elements, uncorrected: -0.160 eV/atom

a b c (Å): 7.3669 7.3669 25.7168
angles (deg): 90.00 90.00 120.00
Space group R-3m (No. 166, hexagonal axes)
Inequivalent atoms, fractional coordinates:
Ta1 0.0000 0.0000 0.0000 (multiplicity 3)
Ta2 0.0000 0.5000 0.0000 (multiplicity 9)
Sb1 0.0000 0.0000 0.5000 (multiplicity 3)
Te1 0.0000 0.0000 0.2619 (multiplicity 6)
Te2 0.0038 0.5019 0.2617 (multiplicity 18)


First-principles (PBE) data for a relaxed structure of AlHg2Pt, as listed in the Alexandria database.

Values from the calculation:
D(E_F): 2.73 states/eV per cell
DFT formation energy: -0.11 eV per atom
Spin magnetization: 0.00 μB/f.u.
Total energy: -2.710 eV/atom

a b c (Å): 2.957 4.714 11.698
angles (deg): 90.00 90.00 90.00
Space group Imm2 (No. 44)
Inequivalent atoms, fractional coordinates:
Al1 0.000 0.000 0.000 (multiplicity 2)
Hg1 0.000 0.000 0.585 (multiplicity 2)
Hg2 0.000 0.500 0.784 (multiplicity 2)
Pt1 0.000 0.500 0.328 (multiplicity 2)


First-principles (PBE) data for a relaxed structure of Ti2Mo3W4, as listed in the Alexandria database.

Values from the calculation:
D(E_F): 29.86 states/eV per cell
DFT formation energy: 0.18 eV per atom
Spin magnetization: 0.00 μB/f.u.
Total energy: -10.938 eV/atom

a b c (Å): 8.061 9.308 7.909
angles (deg): 90.00 97.75 90.00
Space group C2/c (No. 15)
Inequivalent atoms, fractional coordinates:
Ti1 0.110 0.123 0.411 (multiplicity 8)
Mo1 0.000 0.126 0.750 (multiplicity 4)
Mo2 0.169 0.378 0.256 (multiplicity 8)
W1 0.052 0.377 0.583 (multiplicity 8)
W2 0.227 0.126 0.081 (multiplicity 8)


First-principles (PBE) data for a relaxed structure of NaLiLuIn, as listed in the Alexandria database.

Values from the calculation:
D(E_F): 13.17 states/eV per cell
DFT formation energy: -0.05 eV per atom
Spin magnetization: 0.00 μB/f.u.
Total energy: -2.676 eV/atom

a b c (Å): 7.327 7.327 7.327
angles (deg): 90.00 90.00 90.00
Space group F-43m (No. 216)
Inequivalent atoms, fractional coordinates:
Na1 0.000 0.000 0.000 (multiplicity 4)
Li1 0.250 0.250 0.250 (multiplicity 4)
Lu1 0.000 0.000 0.500 (multiplicity 4)
In1 0.250 0.250 0.750 (multiplicity 4)


First-principles (PBE) data for a relaxed structure of TlAgCl4, as listed in the Alexandria database.

Values from the calculation:
Spin magnetization: 0.00 μB/f.u.
Total energy: -2.695 eV/atom
Energy relative to the elements, uncorrected: -0.595 eV/atom

a b c (Å): 14.152 3.999 6.945
angles (deg): 90.00 118.08 90.00
Space group C2/m (No. 12)
Inequivalent atoms, fractional coordinates:
Tl1 0.000 0.000 0.000 (multiplicity 2)
Ag1 0.000 0.500 0.500 (multiplicity 2)
Cl1 0.108 0.000 0.794 (multiplicity 4)
Cl2 0.122 0.500 0.268 (multiplicity 4)


First-principles (PBE) data for a relaxed structure of AcPdF6, as listed in the Alexandria database.

Values from the calculation:
D(E_F): 10.63 states/eV per cell
Spin magnetization: 1.00 μB/f.u.
Total energy: -5.033 eV/atom
Polymorph energy (0 for the lowest one): 0.209 eV/atom
Energy relative to the elements, uncorrected: -2.467 eV/atom

a b c (Å): 5.0043 5.0043 16.1631
angles (deg): 90.00 90.00 120.00
Space group R-3m (No. 166, hexagonal axes)
Inequivalent atoms, fractional coordinates:
Ac1 0.0000 0.0000 0.0000 (multiplicity 3)
Pd1 0.0000 0.0000 0.5000 (multiplicity 3)
F1 0.0047 0.5024 0.9207 (multiplicity 18)


First-principles (PBE) data for a relaxed structure of NaLa2Tl4, as listed in the Alexandria database.

Values from the calculation:
D(E_F): 9.46 states/eV per cell
DFT formation energy: -0.20 eV per atom
Spin magnetization: 0.00 μB/f.u.
Total energy: -3.152 eV/atom
Polymorph energy (0 for the lowest one): 0.000 eV/atom

a b c (Å): 5.4128 5.4128 26.6156
angles (deg): 90.00 90.00 120.00
Space group R-3m (No. 166, hexagonal axes)
Inequivalent atoms, fractional coordinates:
Na1 0.0000 0.0000 0.0000 (multiplicity 3)
La1 0.0000 0.0000 0.2496 (multiplicity 6)
Tl1 0.0000 0.0000 0.1275 (multiplicity 6)
Tl2 0.0000 0.0000 0.3777 (multiplicity 6)


First-principles (PBE) data for a relaxed structure of Ac4TbP5, as listed in the Alexandria database.

Values from the calculation:
D(E_F): 3.29 states/eV per cell
DFT formation energy: -1.44 eV per atom
Spin magnetization: 0.00 μB/f.u.
Total energy: -6.255 eV/atom

a b c (Å): 4.387 4.387 30.874
angles (deg): 90.00 90.00 90.00
Space group I4/mmm (No. 139)
Inequivalent atoms, fractional coordinates:
Ac1 0.000 0.000 0.097 (multiplicity 4)
Ac2 0.000 0.000 0.301 (multiplicity 4)
Tb1 0.000 0.000 0.500 (multiplicity 2)
P1 0.000 0.000 0.000 (multiplicity 2)
P2 0.000 0.000 0.199 (multiplicity 4)
P3 0.000 0.000 0.406 (multiplicity 4)


First-principles (PBE) data for a relaxed structure of PrSiF, as listed in the Alexandria database.

Values from the calculation:
D(E_F): 3.63 states/eV per cell
Spin magnetization: 0.00 μB/f.u.
Total energy: -6.081 eV/atom
Polymorph energy (0 for the lowest one): 0.102 eV/atom
Energy relative to the elements, uncorrected: -2.056 eV/atom

a b c (Å): 4.0847 4.0847 23.5600
angles (deg): 90.00 90.00 120.00
Space group R-3m (No. 166, hexagonal axes)
Inequivalent atoms, fractional coordinates:
Pr1 0.0000 0.0000 0.0877 (multiplicity 6)
Si1 0.0000 0.0000 0.3375 (multiplicity 6)
F1 0.0000 0.0000 0.1958 (multiplicity 6)